Entry 1:
Material: Ac3Dy3ScSe8
Method: DFT, PBE-GGA
State: relaxed

Cell lengths 8.3246, 8.3246, 21.4202 Å; angles 90.00, 90.00, 120.00 degrees
Space group R-3m (No. 166, hexagonal axes)
Unique sites:
Ac (0.0000, 0.5000, 0.0000)
Dy (0.0000, 0.5000, 0.5000)
Sc (0.0000, 0.0000, 0.5000)
Se (0.0000, 0.0000, 0.2404)
Se (0.0053, 0.5026, 0.2398)

Properties
- density (g/cm³) = 7.150
- electronic total energy (eV/cell) = -263.1
- energy relative to the elements, uncorrected (eV/f.u.) = -27.37


Entry 2:
Material: LaDyYMg
Method: DFT, PBE-GGA
State: relaxed

Cell lengths 3.7205, 3.7205, 8.9775 Å; angles 90.00, 90.00, 90.00 degrees
Space group P4mm (No. 99)
Unique sites:
La (0.0000, 0.0000, 0.0000)
Dy (0.5000, 0.5000, 0.2794)
Y (0.5000, 0.5000, 0.7152)
Mg (0.0000, 0.0000, 0.4969)

Properties
- density (g/cm³) = 5.540
- energy of formation (eV per atom) = -0.03
- electronic total energy (eV/cell) = -17.7


Entry 3:
Material: Rb2BaRhF6
Method: DFT, PBE-GGA
State: relaxed

Cell lengths 6.5007, 6.5007, 9.9240 Å; angles 90.00, 90.00, 90.00 degrees
Space group I4/mmm (No. 139)
Unique sites:
Rb (0.0000, 0.5000, 0.2500)
Ba (0.0000, 0.0000, 0.0000)
Rh (0.0000, 0.0000, 0.5000)
F (0.0000, 0.0000, 0.2544)
F (0.2248, 0.2248, 0.5000)

Properties
- density (g/cm³) = 4.159
- electronic total energy (eV/cell) = -95.3
- energy relative to the elements, uncorrected (eV/f.u.) = -25.22


Entry 4:
Material: Nb2CrOs
Method: DFT, PBE-GGA
State: relaxed

Cell lengths 6.3050, 6.3050, 6.3050 Å; angles 90.00, 90.00, 90.00 degrees
Space group Fm-3m (No. 225)
Unique sites:
Nb (0.2500, 0.2500, 0.2500)
Cr (0.0000, 0.0000, 0.0000)
Os (0.0000, 0.0000, 0.5000)

Properties
- density (g/cm³) = 11.343
- energy of formation (eV per atom) = -0.18
- electronic total energy (eV/cell) = -166.9


Entry 5:
Material: CaV3Co
Method: DFT, PBE-GGA
State: relaxed

Cell lengths 4.2984, 4.2984, 4.2984 Å; angles 90.00, 90.00, 90.00 degrees
Space group Pm-3m (No. 221)
Unique sites:
Ca (0.0000, 0.0000, 0.0000)
V (0.0000, 0.0000, 0.5000)
Co (0.5000, 0.5000, 0.5000)

Properties
- density (g/cm³) = 5.266
- energy of formation (eV per atom) = 2.39
- electronic total energy (eV/cell) = -24.5


Entry 6:
Material: NbReAsBr2
Method: DFT, PBE-GGA
State: relaxed

Cell lengths 5.1563, 5.1563, 5.1481 Å; angles 90.00, 90.00, 90.00 degrees
Space group P4/mmm (No. 123)
Unique sites:
Nb (0.0000, 0.0000, 0.0000)
Re (0.5000, 0.5000, 0.5000)
As (0.0000, 0.0000, 0.5000)
Br (0.0000, 0.5000, 0.0000)

Properties
- density (g/cm³) = 6.234
- electronic total energy (eV/cell) = -24.8
- energy relative to the elements, uncorrected (eV/f.u.) = 5.75


Entry 7:
Material: ZrAl
Method: DFT, PBE-GGA
State: relaxed

Cell lengths 4.1400, 19.2500, 4.0147 Å; angles 90.00, 90.00, 90.00 degrees
Space group Cmcm (No. 63)
Unique sites:
Zr (0.0000, 0.0585, 0.2500)
Zr (0.0000, 0.1887, 0.7500)
Al (0.0000, 0.3368, 0.7500)
Al (0.0000, 0.4370, 0.2500)

Properties
- density (g/cm³) = 4.908
- energy of formation (eV per atom) = -0.39
- electronic total energy (eV/cell) = -104.5


Entry 8:
Material: EuHoHgPb
Method: DFT, PBE-GGA
State: relaxed

Cell lengths 7.7019, 7.7019, 7.7019 Å; angles 90.00, 90.00, 90.00 degrees
Space group F-43m (No. 216)
Unique sites:
Eu (0.0000, 0.0000, 0.0000)
Ho (0.0000, 0.0000, 0.5000)
Hg (0.2500, 0.2500, 0.7500)
Pb (0.2500, 0.2500, 0.2500)

Properties
- density (g/cm³) = 10.536
- energy of formation (eV per atom) = -0.48
- electronic total energy (eV/cell) = -83.2


Entry 9:
Material: Ni3C
Method: DFT, PBE-GGA
State: relaxed

Cell lengths 3.3822, 3.3822, 3.6940 Å; angles 90.00, 90.00, 90.00 degrees
Space group P4mm (No. 99)
Unique sites:
Ni (0.0000, 0.0000, 0.0000)
Ni (0.0000, 0.5000, 0.5065)
C (0.5000, 0.5000, 0.2869)

Properties
- density (g/cm³) = 7.391
- energy of formation (eV per atom) = 0.59
- electronic total energy (eV/cell) = -24.2


Entry 10:
Material: MnCdBr
Method: DFT, PBE-GGA
State: relaxed

Cell lengths 4.5958, 4.5958, 3.8213 Å; angles 90.00, 90.00, 120.00 degrees
Space group P-6m2 (No. 187)
Unique sites:
Mn (0.0000, 0.0000, 0.0000)
Cd (0.3333, 0.6667, 0.5000)
Br (0.6667, 0.3333, 0.0000)

Properties
- density (g/cm³) = 5.874
- electronic total energy (eV/cell) = -10.9
- energy relative to the elements, uncorrected (eV/f.u.) = 0.84


Entry 11:
Material: La2RePb
Method: DFT, PBE-GGA
State: relaxed

Cell lengths 4.8484, 4.8484, 8.5477 Å; angles 90.00, 90.00, 90.00 degrees
Space group I-4m2 (No. 119)
Unique sites:
La (0.0000, 0.0000, 0.0000)
La (0.0000, 0.5000, 0.2500)
Re (0.0000, 0.0000, 0.5000)
Pb (0.0000, 0.5000, 0.7500)

Properties
- density (g/cm³) = 11.094
- energy of formation (eV per atom) = 0.26
- electronic total energy (eV/cell) = -50.0


Entry 12:
Material: MnZnRh
Method: DFT, PBE-GGA
State: relaxed

Cell lengths 4.2130, 2.9182, 4.2861 Å; angles 90.00, 90.13, 90.00 degrees
Space group P2/m (No. 10)
Unique sites:
Mn (0.0000, 0.0000, 0.0000)
Zn (0.5000, 0.0000, 0.5000)
Rh (0.0000, 0.5000, 0.5000)

Properties
- density (g/cm³) = 7.035
- energy of formation (eV per atom) = 0.02
- electronic total energy (eV/cell) = -17.7